Entry 1:
Entry from the Alexandria database: a relaxed CeMg2CrN4 crystal (GGA-PBE).

Lattice parameters (Å, degrees): 3.2447 5.8888 10.5831 90.00 90.00 105.99
With the nearest neighbours (Å) after each atom.
Element x y z (fractional)
Ce 0.0741 0.1482 0.7500  6 N 2.46-2.70
Ce 0.9259 0.8518 0.2500  6 N 2.46-2.70
Mg 0.3821 0.7641 0.5378  4 N 2.08-2.27
Mg 0.6179 0.2359 0.0378  4 N 2.08-2.27
Mg 0.6179 0.2359 0.4622  4 N 2.08-2.27
Mg 0.3821 0.7641 0.9622  4 N 2.08-2.27
Cr 0.8152 0.6305 0.7500  2 N 1.69
Cr 0.1848 0.3695 0.2500  2 N 1.69
N 0.2766 0.5533 0.1236  1 Cr 1.69
N 0.7234 0.4467 0.6236  1 Cr 1.69
N 0.7234 0.4467 0.8764  1 Cr 1.69
N 0.2766 0.5533 0.3764  1 Cr 1.69
N 0.0000 0.0000 0.5000  4 Mg 2.14
N 0.0000 0.0000 0.0000  4 Mg 2.14
N 0.4102 0.8204 0.7500  2 Cr 1.95
N 0.5898 0.1796 0.2500  2 Cr 1.95

Magnetization: 1.81 μB/cell
D(E_F): 11.12 states/eV per cell
Formation energy from raw total energies: -0.795 eV/atom
Total DFT energy (no corrections): -7.30 eV/atom

Entry 2:
Entry from the Alexandria database: a relaxed HoCuAg2 crystal (GGA-PBE).

Lattice parameters (Å, degrees): 4.0422 5.3072 7.7608 90.00 90.00 112.41
With the nearest neighbours (Å) after each atom.
Element x y z (fractional)
Ho 0.9382 0.8766 0.2500  3 Cu 2.86-2.87
Ho 0.0618 0.1234 0.7500  3 Cu 2.86-2.87
Cu 0.7703 0.5397 0.7500  6 Ag 2.67-2.69, 3 Ho 2.86-2.87
Cu 0.2297 0.4603 0.2500  6 Ag 2.67-2.69, 3 Ho 2.86-2.87
Ag 0.3597 0.7189 0.5555  3 Cu 2.67-2.69, 1 Ag 2.89
Ag 0.6403 0.2811 0.4445  3 Cu 2.67-2.69, 1 Ag 2.89
Ag 0.3597 0.7189 0.9445  3 Cu 2.67-2.69, 1 Ag 2.89
Ag 0.6403 0.2811 0.0555  3 Cu 2.67-2.69, 1 Ag 2.89

Relative energy among the computed polymorphs: 0 kJ/mol of formula units
Magnetization: 0.00 μB/cell
D(E_F): 3.91 states/eV per cell
Formation energy from the elements: -0.24 eV per atom
Total DFT energy (no corrections): -3.84 eV/atom

Entry 3:
Entry from the Alexandria database: a relaxed Rb2PBr2 crystal (GGA-PBE).

Lattice parameters (Å, degrees): 6.6552 6.6552 8.3160 66.41 66.41 90.00
With the nearest neighbours (Å) after each atom.
Element x y z (fractional)
P 0.0000 0.0000 0.0000  2 Rb 3.98
Br 0.7500 0.2500 0.5000  4 Rb 3.37
Br 0.2500 0.7500 0.5000  4 Rb 3.37
Rb 0.2901 0.2901 0.4198  4 Br 3.37
Rb 0.7099 0.7099 0.5802  4 Br 3.37

Relative energy among the computed polymorphs: 29 kJ/mol of formula units
Magnetization: 3.00 μB/cell
D(E_F): 0.00 states/eV per cell
Formation energy from raw total energies: -0.591 eV/atom
Total DFT energy (no corrections): -2.73 eV/atom

Question: Which value of magnetization does entry 2 give?
Answer: 0.00 μB/cell

Question: The lowest magnetization belongs to which entry?
Answer: HoCuAg2

Repeat the third record exactly.
Entry from the Alexandria database: a relaxed Rb2PBr2 crystal (GGA-PBE).

Lattice parameters (Å, degrees): 6.6552 6.6552 8.3160 66.41 66.41 90.00
With the nearest neighbours (Å) after each atom.
Element x y z (fractional)
P 0.0000 0.0000 0.0000  2 Rb 3.98
Br 0.7500 0.2500 0.5000  4 Rb 3.37
Br 0.2500 0.7500 0.5000  4 Rb 3.37
Rb 0.2901 0.2901 0.4198  4 Br 3.37
Rb 0.7099 0.7099 0.5802  4 Br 3.37

Relative energy among the computed polymorphs: 29 kJ/mol of formula units
Magnetization: 3.00 μB/cell
D(E_F): 0.00 states/eV per cell
Formation energy from raw total energies: -0.591 eV/atom
Total DFT energy (no corrections): -2.73 eV/atom